No. 1
First-principles (PBE) data for GaPRh2 after structural relaxation, as listed in the Alexandria database.

Computed properties:
crystal system: monoclinic
ΔE to the lowest computed polymorph: 0.0000 eV per atom

Cell lengths 5.564, 6.104, 6.964 Å; angles 90.00, 89.92, 90.00 degrees
Positions (direct):
Ga 0.195 0.400 0.115
Ga 0.305 0.900 0.885
Ga 0.695 0.100 0.115
Ga 0.805 0.600 0.885
P 0.694 0.058 0.630
P 0.194 0.442 0.630
P 0.306 0.942 0.370
P 0.806 0.558 0.370
Rh 0.507 0.700 0.167
Rh 0.007 0.800 0.167
Rh 0.990 0.211 0.408
Rh 0.993 0.200 0.833
Rh 0.010 0.789 0.592
Rh 0.510 0.711 0.592
Rh 0.493 0.300 0.833
Rh 0.490 0.289 0.408

=====

No. 2
First-principles (PBE) data for GaP2Rh after structural relaxation, as listed in the Alexandria database.

Computed properties:
crystal system: tetragonal

Cell lengths 5.474, 5.474, 6.502 Å; angles 65.11, 65.11, 90.00 degrees
Positions (direct):
P 0.645 0.125 0.250
P 0.105 0.625 0.250
P 0.375 0.355 0.750
P 0.875 0.895 0.750
Rh 0.000 0.000 0.000
Rh 0.750 0.250 0.500
Ga 0.500 0.500 0.000
Ga 0.250 0.750 0.500

=====

No. 3
First-principles (PBE) data for GaPRh2 after structural relaxation, as listed in the Alexandria database.

Computed properties:
crystal system: tetragonal
ΔE to the lowest computed polymorph: 0.4766 eV per atom

Cell lengths 5.511, 5.511, 6.445 Å; angles 64.69, 64.69, 90.00 degrees
Positions (direct):
P 0.500 0.500 0.000
P 0.250 0.750 0.500
Rh 0.590 0.125 0.250
Rh 0.160 0.625 0.250
Rh 0.375 0.410 0.750
Rh 0.875 0.840 0.750
Ga 0.000 0.000 0.000
Ga 0.750 0.250 0.500

=====

No. 4
First-principles (PBE) data for GaPRh3 after structural relaxation, as listed in the Alexandria database.

Computed properties:
crystal system: cubic
ΔE to the lowest computed polymorph: 1.0178 eV per atom

Cell lengths 4.525, 4.525, 4.525 Å; angles 90.00, 90.00, 90.00 degrees
Positions (direct):
P 0.500 0.500 0.500
Rh 0.000 0.500 0.000
Rh 0.000 0.000 0.500
Rh 0.500 0.000 0.000
Ga 0.000 0.000 0.000

=====

No. 5
First-principles (PBE) data for Ga2PRh2 after structural relaxation, as listed in the Alexandria database.

Computed properties:
crystal system: tetragonal

Cell lengths 7.161, 7.161, 2.926 Å; angles 90.00, 90.00, 90.00 degrees
Positions (direct):
P 0.000 0.000 0.000
P 0.500 0.500 0.000
Rh 0.342 0.842 0.000
Rh 0.842 0.658 0.000
Rh 0.658 0.158 0.000
Rh 0.158 0.342 0.000
Ga 0.141 0.641 0.500
Ga 0.641 0.859 0.500
Ga 0.859 0.359 0.500
Ga 0.359 0.141 0.500

=====

No. 6
First-principles (PBE) data for GaPRh2 after structural relaxation, as listed in the Alexandria database.

Computed properties:
crystal system: trigonal
ΔE to the lowest computed polymorph: 0.1477 eV per atom

Cell lengths 3.765, 3.765, 5.379 Å; angles 69.51, 69.51, 60.00 degrees
Positions (direct):
Ga 0.497 0.497 0.508
P 0.671 0.671 0.988
Rh 0.064 0.064 0.808
Rh 0.268 0.268 0.196

=====

No. 7
First-principles (PBE) data for GaPRh2 after structural relaxation, as listed in the Alexandria database.

Computed properties:
crystal system: cubic
ΔE to the lowest computed polymorph: 0.3667 eV per atom

Cell lengths 4.274, 4.274, 4.274 Å; angles 60.00, 60.00, 60.00 degrees
Positions (direct):
P 0.000 0.000 0.000
Rh 0.250 0.250 0.250
Rh 0.750 0.750 0.750
Ga 0.500 0.500 0.500

=====

No. 8
First-principles (PBE) data for GaP2Rh2 after structural relaxation, as listed in the Alexandria database.

Computed properties:
crystal system: tetragonal

Cell lengths 3.752, 3.752, 6.346 Å; angles 72.80, 72.80, 90.00 degrees
Positions (direct):
P 0.750 0.250 0.500
P 0.250 0.750 0.500
Rh 0.373 0.373 0.253
Rh 0.627 0.627 0.747
Ga 0.000 0.000 0.000

=====

Number 1: Fermi-level density of states 0.353 states/eV/atom, calculated density 8.6 Mg/m³, formation enthalpy at 0 K -687 meV per atom. Number 2: Fermi-level density of states 0.463 states/eV/atom, calculated density 5.0 Mg/m³, formation enthalpy at 0 K -261 meV per atom. Number 3: Fermi-level density of states 0.550 states/eV/atom, calculated density 6.5 Mg/m³, formation enthalpy at 0 K -210 meV per atom. Number 4: Fermi-level density of states 1.020 states/eV/atom, calculated density 7.3 Mg/m³, formation enthalpy at 0 K 957 meV per atom. Number 5: Fermi-level density of states 0.631 states/eV/atom, calculated density 8.3 Mg/m³, formation enthalpy at 0 K -320 meV per atom. Number 6: Fermi-level density of states 0.271 states/eV/atom, calculated density 8.4 Mg/m³, formation enthalpy at 0 K -539 meV per atom. Number 7: Fermi-level density of states 1.314 states/eV/atom, calculated density 9.2 Mg/m³, formation enthalpy at 0 K -320 meV per atom. Number 8: Fermi-level density of states 0.787 states/eV/atom, calculated density 6.9 Mg/m³, formation enthalpy at 0 K -161 meV per atom.